{"formula": "Li3MnCoO5", "functional": "PBE+U", "state": "optimized geometry", "density_g_cm3": 4.00, "de_polymorph_kj_per_mol_fu": 58, "space_group": "P-1, No. 2", "cell": [[2.901, 0.001, -0.004], [-0.037, 5.114, 0.001], [-1.137, -0.910, 12.021]], "species": ["O", "O", "O", "O", "O", "O", "O", "O", "O", "O", "Li", "Li", "Li", "Li", "Li", "Li", "Mn", "Mn", "Co", "Co"], "frac_coords": [[0.952, 0.167, 0.388], [0.455, 0.627, 0.391], [0.618, 0.019, 0.803], [0.760, 0.762, 0.996], [0.048, 0.833, 0.612], [0.881, 0.435, 0.210], [0.545, 0.373, 0.609], [0.382, 0.981, 0.197], [0.240, 0.238, 0.004], [0.119, 0.565, 0.790], [0.307, 0.607, 0.100], [0.000, 0.500, 0.500], [0.079, 0.202, 0.692], [0.500, 0.000, 0.500], [0.693, 0.393, 0.900], [0.921, 0.798, 0.308], [0.420, 0.317, 0.307], [0.580, 0.683, 0.693], [0.188, 0.898, 0.899], [0.812, 0.102, 0.101]]}